P.
{"formula": "Zr2VTc", "functional": "PBE-GGA", "state": "optimized geometry", "space_group": "P4/mmm (123)", "crystal_system": "tetragonal", "magnetic_moment_mub_per_cell": 2.301, "lattice": [[4.693, 0.000, 0.000], [0.000, 4.693, 0.000], [0.000, 0.000, 3.322]], "species": ["Zr", "Zr", "V", "Tc"], "frac_coords": [[0.000, 0.500, 0.000], [0.500, 0.000, 0.000], [0.000, 0.000, 0.500], [0.500, 0.500, 0.500]]}


Q.
{"formula": "Zr2VTc", "functional": "PBE-GGA", "state": "optimized geometry", "space_group": "I-42d (122)", "crystal_system": "tetragonal", "magnetic_moment_mub_per_cell": 5.624, "lattice": [[7.315, 0.000, 0.000], [0.000, 7.315, 0.000], [0.000, 0.000, 5.729]], "species": ["Zr", "Zr", "Zr", "Zr", "Zr", "Zr", "Zr", "Zr", "V", "V", "V", "V", "Tc", "Tc", "Tc", "Tc"], "frac_coords": [[0.238, 0.250, 0.125], [0.250, 0.738, 0.375], [0.250, 0.762, 0.875], [0.262, 0.250, 0.625], [0.738, 0.750, 0.625], [0.750, 0.238, 0.875], [0.750, 0.262, 0.375], [0.762, 0.750, 0.125], [0.000, 0.000, 0.500], [0.000, 0.500, 0.750], [0.500, 0.000, 0.250], [0.500, 0.500, 0.000], [0.000, 0.000, 0.000], [0.000, 0.500, 0.250], [0.500, 0.000, 0.750], [0.500, 0.500, 0.500]]}


How do the energies compare? Relative to the most stable structure, in kJ/mol of atoms: P 0.0; Q 56.4.


P.
{"formula": "Tc5W3", "functional": "PBE-GGA", "state": "optimized geometry", "space_group": "Cmmm (65)", "crystal_system": "orthorhombic", "magnetic_moment_mub_per_cell": 0.000, "lattice": [[6.568, 0.000, 0.000], [0.000, 8.648, 0.000], [0.000, 0.000, 4.306]], "species": ["Tc", "Tc", "Tc", "Tc", "Tc", "Tc", "Tc", "Tc", "Tc", "Tc", "W", "W", "W", "W", "W", "W"], "frac_coords": [[0.000, 0.000, 0.000], [0.223, 0.500, 0.500], [0.250, 0.250, 0.000], [0.250, 0.750, 0.000], [0.277, 0.000, 0.500], [0.500, 0.500, 0.000], [0.723, 0.000, 0.500], [0.750, 0.250, 0.000], [0.750, 0.750, 0.000], [0.777, 0.500, 0.500], [0.000, 0.221, 0.500], [0.000, 0.500, 0.000], [0.000, 0.779, 0.500], [0.500, 0.000, 0.000], [0.500, 0.279, 0.500], [0.500, 0.721, 0.500]]}


Q.
{"formula": "Tc5W3", "functional": "PBE-GGA", "state": "optimized geometry", "space_group": "P6_3/mcm (193)", "crystal_system": "hexagonal", "magnetic_moment_mub_per_cell": 0.000, "lattice": [[7.575, 0.000, 0.000], [-3.788, 6.560, 0.000], [0.000, 0.000, 5.082]], "species": ["Tc", "Tc", "Tc", "Tc", "Tc", "Tc", "Tc", "Tc", "Tc", "Tc", "W", "W", "W", "W", "W", "W"], "frac_coords": [[0.000, 0.231, 0.250], [0.000, 0.769, 0.750], [0.231, 0.000, 0.250], [0.231, 0.231, 0.750], [0.333, 0.667, 0.000], [0.333, 0.667, 0.500], [0.667, 0.333, 0.000], [0.667, 0.333, 0.500], [0.769, 0.000, 0.750], [0.769, 0.769, 0.250], [0.000, 0.402, 0.750], [0.000, 0.598, 0.250], [0.402, 0.000, 0.750], [0.402, 0.402, 0.250], [0.598, 0.000, 0.250], [0.598, 0.598, 0.750]]}


How do the energies compare? Relative to the most stable structure, in kJ/mol of atoms: P 0.0; Q 24.4.